Entry 1:
Computed, not measured: a relaxed structure of CdCu at the PBE level of DFT.

Structure (CIF):
```
data_CdCu
_chemical_formula_sum 'Cd6 Cu6'
_symmetry_space_group_name_H-M 'P m -3 n'
_symmetry_Int_Tables_number 223
_symmetry_space_group_name_Hall '-P 4n 2 3'
_cell_length_a 7.361
_cell_length_b 7.361
_cell_length_c 7.361
_cell_angle_alpha 90.00
_cell_angle_beta 90.00
_cell_angle_gamma 90.00
loop_
_atom_site_label
_atom_site_type_symbol
_atom_site_fract_x
_atom_site_fract_y
_atom_site_fract_z
_atom_site_occupancy
Cd1 Cd 0.000 0.250 0.500 1
Cu1 Cu 0.000 0.500 0.250 1
```

Values from the calculation:
E_form   69.7 kJ/mol of atoms

Entry 2:
Computed, not measured: a relaxed structure of MgMnRu2 at the PBE level of DFT.

Structure (CIF):
```
data_MgMnRu2
_chemical_formula_sum 'Mg1 Mn1 Ru2'
_symmetry_space_group_name_H-M 'P 4/m m m'
_symmetry_Int_Tables_number 123
_symmetry_space_group_name_Hall '-P 4 2'
_cell_length_a 2.994
_cell_length_b 2.994
_cell_length_c 6.332
_cell_angle_alpha 90.00
_cell_angle_beta 90.00
_cell_angle_gamma 90.00
loop_
_atom_site_label
_atom_site_type_symbol
_atom_site_fract_x
_atom_site_fract_y
_atom_site_fract_z
_atom_site_occupancy
Mg1 Mg 0.000 0.000 0.000 1
Mn1 Mn 0.000 0.000 0.500 1
Ru1 Ru 0.500 0.500 0.276 1
```

Values from the calculation:
E_form   1.7 kJ/mol of atoms

Entry 3:
Computed, not measured: a relaxed structure of Ca2CoRu at the PBE level of DFT.

Structure (CIF):
```
data_Ca2CoRu
_chemical_formula_sum 'Ca4 Co2 Ru2'
_symmetry_space_group_name_H-M 'A m m 2'
_symmetry_Int_Tables_number 38
_cell_length_a 4.069
_cell_length_b 4.515
_cell_length_c 10.126
_cell_angle_alpha 90.00
_cell_angle_beta 90.00
_cell_angle_gamma 90.00
loop_
_symmetry_equiv_pos_as_xyz
'x,y,z'
'-x,-y,z'
'-x,y,z'
'x,-y,z'
'x,y+1/2,z+1/2'
'-x,-y+1/2,z+1/2'
'-x,y+1/2,z+1/2'
'x,-y+1/2,z+1/2'
loop_
_atom_site_label
_atom_site_type_symbol
_atom_site_fract_x
_atom_site_fract_y
_atom_site_fract_z
_atom_site_occupancy
Ca1 Ca 0.000 0.000 0.000 1
Ca2 Ca 0.500 0.000 0.286 1
Co1 Co 0.000 0.000 0.690 1
Ru1 Ru 0.500 0.000 0.597 1
```

Values from the calculation:
E_form   15.2 kJ/mol of atoms